Entry 1:
## TaTiTe6 (PBE)

Data for a relaxed TaTiTe6 crystal.

The calculation puts the energy above the most stable polymorph in this dataset at 0.0 meV per atom.

abc: 6.695 13.388 6.730
angles: 90.00 117.39 90.00
Space group C2/m (No. 12)
Symmetry-distinct sites (fractional):
Ta: 0.000 0.000 0.000 [2 per cell]
Ti: 0.000 0.500 0.500 [2 per cell]
Te: 0.195 0.500 0.192 [4 per cell]
Te: 0.226 0.155 0.279 [8 per cell]


Entry 2:
## Ta4TiTe8 (PBE)

Data for a relaxed Ta4TiTe8 crystal.

abc: 7.4495 7.4495 21.6078
angles: 90.00 90.00 120.00
Space group R-3m (No. 166, hexagonal axes)
Symmetry-distinct sites (fractional):
Ta: 0.0000 0.0000 0.0000 [3 per cell]
Ta: 0.0000 0.5000 0.0000 [9 per cell]
Ti: 0.0000 0.0000 0.5000 [3 per cell]
Te: 0.0000 0.0000 0.2492 [6 per cell]
Te: 0.0041 0.5021 0.7512 [18 per cell]


Entry 3:
## TaTiTe2 (PBE)

Data for a relaxed TaTiTe2 crystal.

The calculation puts the energy above the most stable polymorph in this dataset at 274.4 meV per atom.

abc: 3.4953 3.4953 28.2538
angles: 90.00 90.00 120.00
Space group R-3m (No. 166, hexagonal axes)
Symmetry-distinct sites (fractional):
Ta: 0.0000 0.0000 0.0000 [3 per cell]
Ti: 0.0000 0.0000 0.5000 [3 per cell]
Te: 0.0000 0.0000 0.4018 [6 per cell]


Entry 4:
## TaTiZnTe2 (PBE)

Data for a relaxed TaTiZnTe2 crystal.

abc: 5.395 5.395 4.937
angles: 90.00 90.00 90.00
Space group P4/mmm (No. 123)
Symmetry-distinct sites (fractional):
Ta: 0.000 0.000 0.000 [1 per cell]
Ti: 0.000 0.000 0.500 [1 per cell]
Zn: 0.500 0.500 0.500 [1 per cell]
Te: 0.000 0.500 0.000 [2 per cell]


Entry 5:
## TaTl2Te (PBE)

Data for a relaxed TaTl2Te crystal.

The calculation puts the energy above the most stable polymorph in this dataset at 517.8 meV per atom.

abc: 4.279 4.279 10.992
angles: 90.00 90.00 90.00
Space group I4/mmm (No. 139)
Symmetry-distinct sites (fractional):
Ta: 0.000 0.000 0.000 [2 per cell]
Tl: 0.000 0.500 0.250 [4 per cell]
Te: 0.000 0.000 0.500 [2 per cell]


Entry 6:
## TaTl2Te (PBE)

Data for a relaxed TaTl2Te crystal.

The calculation puts the energy above the most stable polymorph in this dataset at 465.8 meV per atom.

abc: 3.081 5.633 5.856
angles: 90.00 90.00 90.00
Space group Pmmm (No. 47)
Symmetry-distinct sites (fractional):
Ta: 0.000 0.000 0.000 [1 per cell]
Tl: 0.500 0.500 0.245 [2 per cell]
Te: 0.000 0.000 0.500 [1 per cell]


Entry 7:
## TaTlTe2 (PBE)

Data for a relaxed TaTlTe2 crystal.

abc: 3.901 5.088 10.840
angles: 90.00 90.00 90.00
Space group Cmm2 (No. 35)
Symmetry-distinct sites (fractional):
Ta: 0.000 0.000 0.000 [2 per cell]
Tl: 0.000 0.500 0.222 [2 per cell]
Te: 0.000 0.000 0.494 [2 per cell]
Te: 0.000 0.500 0.820 [2 per cell]


Entry 8:
## TaTl2Te (PBE)

Data for a relaxed TaTl2Te crystal.

The calculation puts the energy above the most stable polymorph in this dataset at 432.2 meV per atom.

abc: 3.254 5.767 5.553
angles: 90.00 95.95 90.00
Space group P2/m (No. 10)
Symmetry-distinct sites (fractional):
Ta: 0.000 0.000 0.000 [1 per cell]
Tl: 0.299 0.500 0.240 [2 per cell]
Te: 0.000 0.000 0.500 [1 per cell]


Entry 9:
## TaTl2Te (PBE)

Data for a relaxed TaTl2Te crystal.

The calculation puts the energy above the most stable polymorph in this dataset at 528.3 meV per atom.

abc: 3.948 3.948 6.316
angles: 90.00 90.00 90.00
Space group P4/mmm (No. 123)
Symmetry-distinct sites (fractional):
Ta: 0.000 0.000 0.000 [1 per cell]
Tl: 0.500 0.500 0.232 [2 per cell]
Te: 0.000 0.000 0.500 [1 per cell]


Entry 10:
## TaTlTe2 (PBE)

Data for a relaxed TaTlTe2 crystal.

abc: 7.396 7.396 7.396
angles: 90.00 90.00 90.00
Space group F-43m (No. 216)
Symmetry-distinct sites (fractional):
Ta: 0.000 0.000 0.000 [4 per cell]
Tl: 0.250 0.250 0.250 [4 per cell]
Te: 0.000 0.000 0.500 [4 per cell]
Te: 0.250 0.250 0.750 [4 per cell]


Entry 11:
## TaTl2Te (PBE)

Data for a relaxed TaTl2Te crystal.

The calculation puts the energy above the most stable polymorph in this dataset at 531.1 meV per atom.

abc: 4.227 4.227 23.164
angles: 90.00 90.00 90.00
Space group I-42d (No. 122)
Symmetry-distinct sites (fractional):
Ta: 0.000 0.000 0.000 [4 per cell]
Tl: 0.241 0.250 0.125 [8 per cell]
Te: 0.000 0.000 0.500 [4 per cell]


Entry 12:
## TaTlTe (PBE)

Data for a relaxed TaTlTe crystal.

The calculation puts the energy above the most stable polymorph in this dataset at 192.4 meV per atom.

abc: 3.609 5.292 17.033
angles: 90.00 90.00 90.00
Space group Fmm2 (No. 42)
Symmetry-distinct sites (fractional):
Ta: 0.000 0.000 0.000 [4 per cell]
Tl: 0.000 0.000 0.651 [4 per cell]
Te: 0.000 0.000 0.379 [4 per cell]


no.,D(E_F) (states/eV/f.u.),uncorrected formation energy (eV/atom),calculated volume (Å³/atom)
1,3.00,-0.225,33.5
2,9.51,-0.209,26.6
3,3.17,0.151,24.9
4,4.92,0.651,28.7
5,4.05,0.663,25.2
6,2.53,0.611,25.4
7,2.79,0.305,26.9
8,3.19,0.577,25.9
9,3.81,0.673,24.6
10,2.72,0.789,25.3
11,3.93,0.676,25.9
12,1.51,0.365,27.1